1.
The following is a PBE calculation of NaAg3Ge2 after structural relaxation, from Alexandria via LeMat-Bulk.

Total DFT energy (no corrections) (eV for the cell shown): -75.22
Energy relative to the elements (eV/atom): 0.0505

```
data_NaAg3Ge2
_space_group_name_H-M_alt 'C 1 2/m 1'
_space_group_IT_number 12
_space_group_name_Hall '-C 2y'
_cell_length_a 15.5870
_cell_length_b 4.5205
_cell_length_c 7.8282
_cell_angle_alpha 90.00
_cell_angle_beta 120.14
_cell_angle_gamma 90.00
loop_
_atom_site_label
_atom_site_fract_x
_atom_site_fract_y
_atom_site_fract_z
_atom_site_occupancy
Na1 0.1328 0.0000 0.1325 1
Ag1 0.0003 0.0000 0.3243 1
Ag2 0.1787 0.5000 0.4793 1
Ag3 0.1787 0.5000 0.8781 1
Ge1 0.0000 0.5000 0.1561 1
Ge2 0.1896 0.0000 0.6897 1
```


2.
The following is a PBE calculation of CaH3Ir after structural relaxation, from Alexandria via LeMat-Bulk.

Total DFT energy (no corrections) (eV for the cell shown): -86.54

```
data_CaH3Ir
_space_group_name_H-M_alt 'I -4 m 2'
_space_group_IT_number 119
_space_group_name_Hall 'I -4 -2'
_cell_length_a 3.6170
_cell_length_b 3.6170
_cell_length_c 17.5592
_cell_angle_alpha 90.00
_cell_angle_beta 90.00
_cell_angle_gamma 90.00
loop_
_atom_site_label
_atom_site_fract_x
_atom_site_fract_y
_atom_site_fract_z
_atom_site_occupancy
Ca1 0.0000 0.0000 0.1049 1
H1 0.0000 0.2167 0.3236 1
H2 0.0000 0.5000 0.0000 1
Ir1 0.0000 0.0000 0.5000 1
Ir2 0.0000 0.5000 0.2500 1
```


3.
The following is a PBE calculation of KCaAs2 after structural relaxation, from Alexandria via LeMat-Bulk.

Total DFT energy (no corrections) (eV for the cell shown): -41.33
Energy relative to the elements (eV/atom): -0.3449

```
data_KCaAs2
_space_group_name_H-M_alt 'R 3 m'
_space_group_IT_number 160
_space_group_name_Hall 'R 3 -2"'
_cell_length_a 4.5696
_cell_length_b 4.5696
_cell_length_c 24.2997
_cell_angle_alpha 90.00
_cell_angle_beta 90.00
_cell_angle_gamma 120.00
loop_
_atom_site_label
_atom_site_fract_x
_atom_site_fract_y
_atom_site_fract_z
_atom_site_occupancy
K1 0.0000 0.0000 0.0000 1
Ca1 0.0000 0.0000 0.1715 1
As1 0.0000 0.0000 0.4242 1
As2 0.0000 0.0000 0.7777 1
```


Please write out number 1 again, unchanged.
The following is a PBE calculation of NaAg3Ge2 after structural relaxation, from Alexandria via LeMat-Bulk.

Total DFT energy (no corrections) (eV for the cell shown): -75.22
Energy relative to the elements (eV/atom): 0.0505

```
data_NaAg3Ge2
_space_group_name_H-M_alt 'C 1 2/m 1'
_space_group_IT_number 12
_space_group_name_Hall '-C 2y'
_cell_length_a 15.5870
_cell_length_b 4.5205
_cell_length_c 7.8282
_cell_angle_alpha 90.00
_cell_angle_beta 120.14
_cell_angle_gamma 90.00
loop_
_atom_site_label
_atom_site_fract_x
_atom_site_fract_y
_atom_site_fract_z
_atom_site_occupancy
Na1 0.1328 0.0000 0.1325 1
Ag1 0.0003 0.0000 0.3243 1
Ag2 0.1787 0.5000 0.4793 1
Ag3 0.1787 0.5000 0.8781 1
Ge1 0.0000 0.5000 0.1561 1
Ge2 0.1896 0.0000 0.6897 1
```


Please write out number 2 again, unchanged.
The following is a PBE calculation of CaH3Ir after structural relaxation, from Alexandria via LeMat-Bulk.

Total DFT energy (no corrections) (eV for the cell shown): -86.54

```
data_CaH3Ir
_space_group_name_H-M_alt 'I -4 m 2'
_space_group_IT_number 119
_space_group_name_Hall 'I -4 -2'
_cell_length_a 3.6170
_cell_length_b 3.6170
_cell_length_c 17.5592
_cell_angle_alpha 90.00
_cell_angle_beta 90.00
_cell_angle_gamma 90.00
loop_
_atom_site_label
_atom_site_fract_x
_atom_site_fract_y
_atom_site_fract_z
_atom_site_occupancy
Ca1 0.0000 0.0000 0.1049 1
H1 0.0000 0.2167 0.3236 1
H2 0.0000 0.5000 0.0000 1
Ir1 0.0000 0.0000 0.5000 1
Ir2 0.0000 0.5000 0.2500 1
```


Please write out number 2 again, unchanged.
The following is a PBE calculation of CaH3Ir after structural relaxation, from Alexandria via LeMat-Bulk.

Total DFT energy (no corrections) (eV for the cell shown): -86.54

```
data_CaH3Ir
_space_group_name_H-M_alt 'I -4 m 2'
_space_group_IT_number 119
_space_group_name_Hall 'I -4 -2'
_cell_length_a 3.6170
_cell_length_b 3.6170
_cell_length_c 17.5592
_cell_angle_alpha 90.00
_cell_angle_beta 90.00
_cell_angle_gamma 90.00
loop_
_atom_site_label
_atom_site_fract_x
_atom_site_fract_y
_atom_site_fract_z
_atom_site_occupancy
Ca1 0.0000 0.0000 0.1049 1
H1 0.0000 0.2167 0.3236 1
H2 0.0000 0.5000 0.0000 1
Ir1 0.0000 0.0000 0.5000 1
Ir2 0.0000 0.5000 0.2500 1
```


Q: What is the total DFT energy (no corrections) in the first record?
A: -75.22 eV for the cell shown